1.
Material: Ac6CdAg
Method: DFT, PBE-GGA
State: relaxed

Summary:
- V (Å³ per atom) = 38.879
- VASP energy (eV/cell) = -58.88
- N(E_F) (states/eV/f.u.) = 10.78

Cell and atoms, written as CIF:
```
data_Ac6CdAg
_chemical_formula_sum 'Ac12 Cd2 Ag2'
_cell_length_a 5.663
_cell_length_b 5.663
_cell_length_c 19.400
_cell_angle_alpha 90.00
_cell_angle_beta 90.00
_cell_angle_gamma 90.00
_space_group_name_H-M_alt 'I 4/m m m'
_space_group_IT_number 139
_space_group_name_Hall '-I 4 2'
loop_
_atom_site_label
_atom_site_fract_x
_atom_site_fract_y
_atom_site_fract_z
_atom_site_occupancy
Ac1 0.000 0.000 0.249 1
Ac2 0.000 0.500 0.104 1
Cd1 0.000 0.000 0.000 1
Ag1 0.000 0.000 0.500 1
```

2.
Material: PbBrNF2
Method: DFT, PBE-GGA
State: relaxed

Summary:
- relative energy among the computed polymorphs (meV per atom) = 0
- V (Å³ per atom) = 18.714
- VASP energy (eV/cell) = -18.39
- N(E_F) (states/eV/f.u.) = 4.49
- formation energy from raw total energies (eV/atom) = -0.19

Cell and atoms, written as CIF:
```
data_PbBrNF2
_chemical_formula_sum 'Pb1 Br1 N1 F2'
_cell_length_a 4.424
_cell_length_b 4.424
_cell_length_c 4.781
_cell_angle_alpha 90.00
_cell_angle_beta 90.00
_cell_angle_gamma 90.00
_space_group_name_H-M_alt 'P 4/m m m'
_space_group_IT_number 123
_space_group_name_Hall '-P 4 2'
loop_
_atom_site_label
_atom_site_fract_x
_atom_site_fract_y
_atom_site_fract_z
_atom_site_occupancy
Pb1 0.000 0.000 0.000 1
Br1 0.500 0.500 0.500 1
N1 0.000 0.000 0.500 1
F1 0.000 0.500 0.000 1
```

3.
Material: NaCuIrF6
Method: DFT, PBE-GGA
State: relaxed

Summary:
- V (Å³ per atom) = 12.775
- VASP energy (eV/cell) = -81.81
- N(E_F) (states/eV/f.u.) = 6.66
- formation energy from raw total energies (eV/atom) = -1.71

Cell and atoms, written as CIF:
```
data_NaCuIrF6
_chemical_formula_sum 'Na2 Cu2 Ir2 F12'
_cell_length_a 5.4548
_cell_length_b 5.4548
_cell_length_c 8.9234
_cell_angle_alpha 90.00
_cell_angle_beta 90.00
_cell_angle_gamma 120.00
_space_group_name_H-M_alt 'P -3 1 c'
_space_group_IT_number 163
_space_group_name_Hall '-P 3 2c'
loop_
_atom_site_label
_atom_site_fract_x
_atom_site_fract_y
_atom_site_fract_z
_atom_site_occupancy
Na1 0.3333 0.6667 0.2500 1
Cu1 0.0000 0.0000 0.0000 1
Ir1 0.3333 0.6667 0.7500 1
F1 0.0342 0.3543 0.6241 1
```

4.
Material: KBa3Br
Method: DFT, PBE-GGA
State: relaxed

Summary:
- relative energy among the computed polymorphs (meV per atom) = 747
- V (Å³ per atom) = 75.799
- VASP energy (eV/cell) = -7.18
- N(E_F) (states/eV/f.u.) = 6.33
- formation energy from raw total energies (eV/atom) = 0.27

Cell and atoms, written as CIF:
```
data_KBa3Br
_chemical_formula_sum 'K1 Ba3 Br1'
_cell_length_a 7.237
_cell_length_b 7.237
_cell_length_c 7.237
_cell_angle_alpha 90.00
_cell_angle_beta 90.00
_cell_angle_gamma 90.00
_space_group_name_H-M_alt 'P m -3 m'
_space_group_IT_number 221
_space_group_name_Hall '-P 4 2 3'
loop_
_atom_site_label
_atom_site_fract_x
_atom_site_fract_y
_atom_site_fract_z
_atom_site_occupancy
K1 0.000 0.000 0.000 1
Ba1 0.000 0.000 0.500 1
Br1 0.500 0.500 0.500 1
```

5.
Material: MnNbHg3
Method: DFT, PBE-GGA
State: relaxed

Summary:
- relative energy among the computed polymorphs (meV per atom) = 0
- V (Å³ per atom) = 24.700
- VASP energy (eV/cell) = -14.62
- N(E_F) (states/eV/f.u.) = 8.60

Cell and atoms, written as CIF:
```
data_MnNbHg3
_chemical_formula_sum 'Mn1 Nb1 Hg3'
_cell_length_a 4.980
_cell_length_b 4.980
_cell_length_c 4.980
_cell_angle_alpha 90.00
_cell_angle_beta 90.00
_cell_angle_gamma 90.00
_space_group_name_H-M_alt 'P m -3 m'
_space_group_IT_number 221
_space_group_name_Hall '-P 4 2 3'
loop_
_atom_site_label
_atom_site_fract_x
_atom_site_fract_y
_atom_site_fract_z
_atom_site_occupancy
Mn1 0.000 0.000 0.000 1
Nb1 0.500 0.500 0.500 1
Hg1 0.000 0.000 0.500 1
```

6.
Material: ZrTiAl
Method: DFT, PBE-GGA
State: relaxed

Summary:
- relative energy among the computed polymorphs (meV per atom) = 13
- V (Å³ per atom) = 18.683
- VASP energy (eV/cell) = -84.63
- N(E_F) (states/eV/f.u.) = 2.37

Cell and atoms, written as CIF:
```
data_ZrTiAl
_chemical_formula_sum 'Zr4 Ti4 Al4'
_cell_length_a 3.141
_cell_length_b 14.859
_cell_length_c 4.804
_cell_angle_alpha 90.00
_cell_angle_beta 90.00
_cell_angle_gamma 90.00
_space_group_name_H-M_alt 'C m c m'
_space_group_IT_number 63
_space_group_name_Hall '-C 2c 2'
loop_
_atom_site_label
_atom_site_fract_x
_atom_site_fract_y
_atom_site_fract_z
_atom_site_occupancy
Zr1 0.000 0.068 0.250 1
Ti1 0.000 0.267 0.750 1
Al1 0.000 0.386 0.250 1
```